[1]
This record from the Alexandria database describes crystalline K8Hg2As at its relaxed geometry. The functional is GGA-PBE.

Computed properties:
Calculated total energy (eV/atom): -1.41
Symmetry: Immm
ΔH_f (0 K) (eV per atom): -0.1391
Crystal system: orthorhombic

Lattice parameters (Å, degrees): 10.192 10.192 10.192 147.08 123.51 66.96
Positions (direct):
K 0.117 0.350 0.766
K 0.133 0.133 0.000
K 0.298 0.000 0.298
K 0.416 0.650 0.766
K 0.584 0.350 0.234
K 0.702 0.000 0.702
K 0.867 0.867 0.000
K 0.883 0.650 0.234
Hg 0.309 0.809 0.500
Hg 0.691 0.191 0.500
As 0.000 0.500 0.500

---

[2]
This record from the Alexandria database describes crystalline La2NCl2 at its relaxed geometry. The functional is GGA-PBE.

Computed properties:
Calculated total energy (eV/atom): -6.27
Symmetry: C2/m
Crystal system: monoclinic

Lattice parameters (Å, degrees): 3.877 3.877 10.836 101.45 101.45 59.99
Positions (direct):
La 0.216 0.216 0.134
La 0.784 0.784 0.866
N 0.500 0.500 0.000
Cl 0.052 0.052 0.691
Cl 0.948 0.948 0.309

---

[3]
This record from the Alexandria database describes crystalline BeNbTe at its relaxed geometry. The functional is GGA-PBE.

Computed properties:
Calculated total energy (eV/atom): -6.01
Symmetry: R-3m
Energy relative to the lowest polymorph listed for this composition (eV per atom): 0.003
Crystal system: trigonal

Lattice parameters (Å, degrees): 11.492 11.492 11.492 17.61 17.61 17.61
Positions (direct):
Be 0.164 0.164 0.164
Be 0.836 0.836 0.836
Nb 0.451 0.451 0.451
Nb 0.549 0.549 0.549
Te 0.273 0.273 0.273
Te 0.727 0.727 0.727

---

[4]
This record from the Alexandria database describes crystalline UAs2 at its relaxed geometry. The functional is GGA-PBE.

Computed properties:
Calculated total energy (eV/atom): -7.52
Symmetry: P4/nmm
ΔH_f (0 K) (eV per atom): -0.6619
Crystal system: tetragonal

Lattice parameters (Å, degrees): 3.962 3.962 8.102 90.00 90.00 90.00
Positions (direct):
U 0.250 0.250 0.216
U 0.750 0.750 0.784
As 0.250 0.250 0.857
As 0.250 0.750 0.500
As 0.750 0.250 0.500
As 0.750 0.750 0.143

---

[5]
This record from the Alexandria database describes crystalline Na3AlHg at its relaxed geometry. The functional is GGA-PBE.

Computed properties:
Calculated total energy (eV/atom): -1.29
Symmetry: Pm-3m
ΔH_f (0 K) (eV per atom): 0.3122
Energy relative to the lowest polymorph listed for this composition (eV per atom): 0.000
Crystal system: cubic

Lattice parameters (Å, degrees): 5.856 5.856 5.856 90.00 90.00 90.00
Positions (direct):
Na 0.000 0.000 0.500
Na 0.000 0.500 0.000
Na 0.500 0.000 0.000
Al 0.000 0.000 0.000
Hg 0.500 0.500 0.500

---

[6]
This record from the Alexandria database describes crystalline BaBI2O at its relaxed geometry. The functional is GGA-PBE.

Computed properties:
Calculated total energy (eV/atom): -3.01
Symmetry: P4/mmm
Energy relative to the lowest polymorph listed for this composition (eV per atom): 0.708
Crystal system: tetragonal

Lattice parameters (Å, degrees): 6.849 6.849 4.524 90.00 90.00 90.00
Positions (direct):
Ba 0.000 0.000 0.000
B 0.500 0.500 0.500
I 0.000 0.500 0.000
I 0.500 0.000 0.000
O 0.000 0.000 0.500

---

[7]
This record from the Alexandria database describes crystalline Ac2Sn5Hg at its relaxed geometry. The functional is GGA-PBE.

Computed properties:
Calculated total energy (eV/atom): -4.06
Symmetry: I4mm
ΔH_f (0 K) (eV per atom): -0.4898
Crystal system: tetragonal

Lattice parameters (Å, degrees): 6.993 6.993 6.993 120.67 120.67 88.84
Positions (direct):
Ac 0.000 0.500 0.500
Ac 0.500 0.000 0.500
Sn 0.009 0.009 0.523
Sn 0.009 0.486 0.000
Sn 0.467 0.467 0.000
Sn 0.486 0.009 0.000
Sn 0.486 0.486 0.477
Hg 0.955 0.955 0.000

---

[8]
This record from the Alexandria database describes crystalline SbOs at its relaxed geometry. The functional is GGA-PBE.

Computed properties:
Calculated total energy (eV/atom): -6.54
Symmetry: Pm-3n
Crystal system: cubic

Lattice parameters (Å, degrees): 7.272 7.272 7.272 90.00 90.00 90.00
Positions (direct):
Sb 0.000 0.250 0.500
Sb 0.000 0.750 0.500
Sb 0.250 0.500 0.000
Sb 0.500 0.000 0.250
Sb 0.500 0.000 0.750
Sb 0.750 0.500 0.000
Os 0.000 0.500 0.250
Os 0.000 0.500 0.750
Os 0.250 0.000 0.500
Os 0.500 0.250 0.000
Os 0.500 0.750 0.000
Os 0.750 0.000 0.500

---

[9]
This record from the Alexandria database describes crystalline Tb2MgSi3Ir4 at its relaxed geometry. The functional is GGA-PBE.

Computed properties:
Calculated total energy (eV/atom): -7.19
Symmetry: P-4m2
Crystal system: tetragonal

Lattice parameters (Å, degrees): 4.100 4.100 10.355 90.00 90.00 90.00
Positions (direct):
Tb 0.000 0.500 0.245
Tb 0.500 0.000 0.755
Mg 0.000 0.000 0.500
Si 0.000 0.500 0.875
Si 0.500 0.000 0.125
Si 0.500 0.500 0.500
Ir 0.000 0.000 0.000
Ir 0.000 0.500 0.646
Ir 0.500 0.000 0.354
Ir 0.500 0.500 0.000

---

[10]
This record from the Alexandria database describes crystalline CaCu4Ge4 at its relaxed geometry. The functional is GGA-PBE.

Computed properties:
Calculated total energy (eV/atom): -4.11
Symmetry: P4_2/n
ΔH_f (0 K) (eV per atom): -0.0167
Crystal system: tetragonal

Lattice parameters (Å, degrees): 8.158 8.158 5.029 90.00 90.00 90.00
Positions (direct):
Ca 0.250 0.250 0.250
Ca 0.750 0.750 0.750
Cu 0.078 0.906 0.148
Cu 0.094 0.578 0.648
Cu 0.406 0.922 0.648
Cu 0.422 0.594 0.148
Cu 0.578 0.406 0.852
Cu 0.594 0.078 0.352
Cu 0.906 0.422 0.352
Cu 0.922 0.094 0.852
Ge 0.110 0.610 0.144
Ge 0.110 0.890 0.644
Ge 0.390 0.610 0.644
Ge 0.390 0.890 0.144
Ge 0.610 0.110 0.856
Ge 0.610 0.390 0.356
Ge 0.890 0.110 0.356
Ge 0.890 0.390 0.856

---

[11]
This record from the Alexandria database describes crystalline Hf3SnPb at its relaxed geometry. The functional is GGA-PBE.

Computed properties:
Calculated total energy (eV/atom): -6.32
Symmetry: Pm-3m
ΔH_f (0 K) (eV per atom): 1.1987
Energy relative to the lowest polymorph listed for this composition (eV per atom): 1.298
Crystal system: cubic

Lattice parameters (Å, degrees): 5.306 5.306 5.306 90.00 90.00 90.00
Positions (direct):
Hf 0.000 0.000 0.500
Hf 0.000 0.500 0.000
Hf 0.500 0.000 0.000
Sn 0.500 0.500 0.500
Pb 0.000 0.000 0.000

---

[12]
This record from the Alexandria database describes crystalline SrRu at its relaxed geometry. The functional is GGA-PBE.

Computed properties:
Calculated total energy (eV/atom): -3.50
Symmetry: Pm-3n
ΔH_f (0 K) (eV per atom): 1.9762
Crystal system: cubic

Lattice parameters (Å, degrees): 8.407 8.407 8.407 90.00 90.00 90.00
Positions (direct):
Sr 0.000 0.250 0.500
Sr 0.000 0.750 0.500
Sr 0.250 0.500 0.000
Sr 0.500 0.000 0.250
Sr 0.500 0.000 0.750
Sr 0.750 0.500 0.000
Ru 0.000 0.500 0.250
Ru 0.000 0.500 0.750
Ru 0.250 0.000 0.500
Ru 0.500 0.250 0.000
Ru 0.500 0.750 0.000
Ru 0.750 0.000 0.500

---

- Number 4 is which compound?
  UAs2